[1]
BaAsW2: optimized geometry, PBE.

DFT total energy	-0.489	Ry/atom
energy of formation from the pure elements	5.839	eV/f.u.
magnetic moment	0.000	Bohr magnetons per cell
space group	I4/mmm (139)

Cell: 5.9679 5.9679 5.9679 Å, 139.31 139.31 58.91°
Fractional coordinates of all 4 atoms:
As 0.2500 0.7500 0.5000
Ba 0.7500 0.2500 0.5000
W 0.0000 0.0000 0.0000
W 0.5000 0.5000 0.0000

=====

[2]
BaAsW2: optimized geometry, PBE.

DFT total energy	-0.569	Ry/atom
energy of formation from the pure elements	1.512	eV/f.u.
magnetic moment	0.769	Bohr magnetons per cell
space group	Cm (8)

Cell: 4.4124 6.6137 4.4124 Å, 109.50 120.15 89.90°
Fractional coordinates of all 4 atoms:
As 0.5493 0.6482 0.0990
Ba 0.7473 0.2424 0.4951
W 0.9501 0.8498 0.8996
W 0.2533 0.7596 0.5063

=====

[3]
BaAsW2: optimized geometry, PBE.

DFT total energy	-0.527	Ry/atom
energy of formation from the pure elements	3.781	eV/f.u.
magnetic moment	0.000	Bohr magnetons per cell
space group	Imm2 (44)

Cell: 6.1103 6.1103 6.1103 Å, 149.84 120.43 68.21°
Fractional coordinates of all 4 atoms:
As 0.5423 0.5423 0.0000
Ba 0.2584 0.7584 0.5000
W 0.9430 0.9430 0.0000
W 0.7563 0.2563 0.5000

=====

[4]
Ba2AsW: optimized geometry, PBE.

DFT total energy	-0.363	Ry/atom
energy of formation from the pure elements	1.714	eV/f.u.
magnetic moment	4.000	Bohr magnetons per cell
space group	I-42d (122)

Cell: 12.1058 12.1058 8.8928 Å, 47.11 47.11 90.00°
Fractional coordinates of all 8 atoms:
As 0.5000 0.5000 0.0000
As 0.2500 0.7500 0.5000
Ba 0.4556 0.1250 0.2500
Ba 0.2944 0.6250 0.2500
Ba 0.3750 0.5444 0.7500
Ba 0.8750 0.7056 0.7500
W 0.0000 0.0000 0.0000
W 0.7500 0.2500 0.5000

=====

[5]
BaAsW2: optimized geometry, PBE.

DFT total energy	-0.532	Ry/atom
energy of formation from the pure elements	3.503	eV/f.u.
magnetic moment	0.000	Bohr magnetons per cell
space group	P4/mmm (123)

Cell: 3.3698 3.3698 7.8572 Å, 90.00 90.00 90.00°
Fractional coordinates of all 4 atoms:
As 0.5000 0.5000 0.2500
Ba 0.5000 0.5000 0.7500
W 0.0000 0.0000 0.0935
W 0.0000 0.0000 0.4065

=====

[6]
BaAsW2: optimized geometry, PBE.

DFT total energy	-0.548	Ry/atom
energy of formation from the pure elements	2.678	eV/f.u.
magnetic moment	0.000	Bohr magnetons per cell
space group	C2/m (12)

Cell: 5.1004 5.1004 6.0038 Å, 79.55 79.55 38.61°
Fractional coordinates of all 4 atoms:
As 0.7500 0.7500 0.7500
Ba 0.2500 0.2500 0.2500
W 0.0244 0.0244 0.8867
W 0.4756 0.4756 0.6133

=====

[7]
Ba2AsW: optimized geometry, PBE.

DFT total energy	-0.337	Ry/atom
energy of formation from the pure elements	3.133	eV/f.u.
magnetic moment	4.948	Bohr magnetons per cell
space group	C2/m (12)

Cell: 4.8002 4.8002 8.8059 Å, 74.23 74.23 59.93°
Fractional coordinates of all 4 atoms:
As 0.2500 0.2500 0.2500
Ba 0.9860 0.9860 0.0418
Ba 0.5140 0.5140 0.4582
W 0.7500 0.7500 0.7500

=====

[8]
BaAsW2: optimized geometry, PBE.

DFT total energy	-0.485	Ry/atom
energy of formation from the pure elements	6.089	eV/f.u.
magnetic moment	0.000	Bohr magnetons per cell
space group	Cmmm (65)

Cell: 5.9996 5.9996 2.8493 Å, 90.00 90.00 121.80°
Fractional coordinates of all 4 atoms:
As 0.5000 0.0000 0.5000
Ba 0.0000 0.5000 0.5000
W 0.0000 0.0000 0.0000
W 0.5000 0.5000 0.0000

=====

[9]
BaAsW2: optimized geometry, PBE.

DFT total energy	-0.497	Ry/atom
energy of formation from the pure elements	5.444	eV/f.u.
magnetic moment	0.000	Bohr magnetons per cell
space group	Pmmm (47)

Cell: 3.3735 4.8691 5.2122 Å, 90.00 90.00 90.00°
Fractional coordinates of all 4 atoms:
As 0.5000 0.0000 0.5000
Ba 0.0000 0.5000 0.5000
W 0.0000 0.0000 0.0000
W 0.5000 0.5000 0.0000

=====

[10]
BaAsW2: optimized geometry, PBE.

DFT total energy	-0.519	Ry/atom
energy of formation from the pure elements	4.219	eV/f.u.
magnetic moment	0.000	Bohr magnetons per cell
space group	R-3m (166)

Cell: 9.9793 9.9793 9.9793 Å, 17.98 17.98 17.98°
Fractional coordinates of all 4 atoms:
As 0.2500 0.2500 0.2500
Ba 0.7500 0.7500 0.7500
W 0.9807 0.9807 0.9807
W 0.5193 0.5193 0.5193

=====

[11]
Ba2AsW: optimized geometry, PBE.

DFT total energy	-0.374	Ry/atom
energy of formation from the pure elements	1.068	eV/f.u.
magnetic moment	0.189	Bohr magnetons per cell
space group	P4mm (99)

Cell: 3.5806 3.5806 9.7692 Å, 90.00 90.00 90.00°
Fractional coordinates of all 4 atoms:
As 0.5000 0.5000 0.6764
Ba 0.0000 0.0000 0.9053
Ba 0.5000 0.5000 0.3367
W 0.0000 0.0000 0.5816

=====

[12]
Ba2AsW: optimized geometry, PBE.

DFT total energy	-0.341	Ry/atom
energy of formation from the pure elements	2.869	eV/f.u.
magnetic moment	0.000	Bohr magnetons per cell
space group	P4/mmm (123)

Cell: 3.3272 3.3272 10.2434 Å, 90.00 90.00 90.00°
Fractional coordinates of all 4 atoms:
As 0.5000 0.5000 0.7500
Ba 0.0000 0.0000 0.9929
Ba 0.0000 0.0000 0.5071
W 0.5000 0.5000 0.2500

=====

[13]
Ba2AsW: optimized geometry, PBE.

DFT total energy	-0.337	Ry/atom
energy of formation from the pure elements	3.124	eV/f.u.
magnetic moment	4.477	Bohr magnetons per cell
space group	I-4m2 (119)

Cell: 6.4260 6.4260 6.4260 Å, 135.62 135.62 64.58°
Fractional coordinates of all 4 atoms:
As 0.7500 0.2500 0.5000
Ba 0.0000 0.0000 0.0000
Ba 0.2500 0.7500 0.5000
W 0.5000 0.5000 0.0000

=====

[14]
BaAsW2: optimized geometry, PBE.

DFT total energy	-0.552	Ry/atom
energy of formation from the pure elements	2.411	eV/f.u.
magnetic moment	0.598	Bohr magnetons per cell
space group	R3m (160)

Cell: 9.5438 9.5438 9.5438 Å, 20.07 20.07 20.07°
Fractional coordinates of all 4 atoms:
As 0.5185 0.5185 0.5185
Ba 0.7509 0.7509 0.7509
W 0.9803 0.9803 0.9803
W 0.2503 0.2503 0.2503

=====

[15]
BaAsW: optimized geometry, PBE.

DFT total energy	-0.457	Ry/atom
energy of formation from the pure elements	0.874	eV/f.u.
distance to the lowest polymorph of the same formula	59.6	meV/atom
magnetic moment	0.335	Bohr magnetons per cell
space group	P-6m2 (187)

Cell: 4.3205 4.3205 5.1946 Å, 90.00 90.00 120.00°
Fractional coordinates of all 3 atoms:
As 0.0000 0.0000 0.8335
Ba 0.6667 0.3333 0.3332
W 0.3333 0.6667 0.8333

=====

[16]
BaAsW2: optimized geometry, PBE.

DFT total energy	-0.492	Ry/atom
energy of formation from the pure elements	5.718	eV/f.u.
magnetic moment	0.012	Bohr magnetons per cell
space group	P4/mmm (123)

Cell: 5.2024 4.1418 4.1418 Å, 90.00 90.00 90.00°
Fractional coordinates of all 4 atoms:
As 0.5000 0.5000 0.0000
Ba 0.5000 0.0000 0.5000
W 0.0000 0.0000 0.0000
W 0.0000 0.5000 0.5000

=====

[17]
BaAsW: optimized geometry, PBE.

DFT total energy	-0.461	Ry/atom
energy of formation from the pure elements	0.695	eV/f.u.
distance to the lowest polymorph of the same formula	0.0	meV/atom
magnetic moment	0.000	Bohr magnetons per cell
space group	I4mm (107)

Cell: 6.6526 6.6523 3.4254 Å, 75.09 75.08 29.84°
Fractional coordinates of all 3 atoms:
As 0.0472 0.0472 0.9528
Ba 0.3288 0.3288 0.6712
W 0.6240 0.6240 0.3760

=====

[18]
BaAs4W: optimized geometry, PBE.

DFT total energy	-0.363	Ry/atom
energy of formation from the pure elements	3.845	eV/f.u.
magnetic moment	3.060	Bohr magnetons per cell
space group	F-43m (216)

Cell: 5.7831 5.7831 5.7831 Å, 60.00 60.00 60.00°
Fractional coordinates of all 6 atoms:
Ba 0.7500 0.7500 0.7500
As 0.8896 0.3701 0.3701
As 0.3701 0.3701 0.8896
As 0.3701 0.8896 0.3701
As 0.3701 0.3701 0.3701
W 0.0000 0.0000 0.0000

=====

[19]
BaAsW: optimized geometry, PBE.

DFT total energy	-0.348	Ry/atom
energy of formation from the pure elements	5.302	eV/f.u.
distance to the lowest polymorph of the same formula	1535.6	meV/atom
magnetic moment	4.478	Bohr magnetons per cell
space group	F-43m (216)

Cell: 5.2885 5.2885 5.2885 Å, 60.00 60.00 60.00°
Fractional coordinates of all 3 atoms:
As 0.5000 0.5000 0.5000
Ba 0.7500 0.7500 0.7500
W 0.0000 0.0000 0.0000

=====

[20]
BaAsW2: optimized geometry, PBE.

DFT total energy	-0.574	Ry/atom
energy of formation from the pure elements	1.233	eV/f.u.
magnetic moment	0.000	Bohr magnetons per cell
space group	Pm (6)

Cell: 4.2088 3.3600 6.9095 Å, 79.09 90.00 90.00°
Fractional coordinates of all 4 atoms:
As 0.0000 0.3491 0.4393
Ba 0.5000 0.7466 0.7063
W 0.0000 0.9617 0.1552
W 0.5000 0.4426 0.1992